Entry from the Alexandria database: crystalline KZrSiS2 at its relaxed geometry (GGA-PBE).

abc: 5.019 5.019 4.993
angles: 90.00 90.00 90.00
Sites, in units of the cell vectors:
K (0.000, 0.000, 0.000)
Zr (0.500, 0.500, 0.000)
Si (0.500, 0.500, 0.500)
S (0.000, 0.500, 0.500)
S (0.500, 0.000, 0.500)

Summary:
* formation energy (no corrections): 0.2295 eV per atom
* uncorrected energy: -0.326 Ry per atom
* volume: 125.8 Å³ per cell
* crystal system: tetragonal

---

Entry from the Alexandria database: crystalline Li3CdPd at its relaxed geometry (GGA-PBE).

abc: 6.963 6.963 5.515
angles: 100.19 100.19 37.62
Sites, in units of the cell vectors:
Li (0.006, 0.006, 0.265)
Li (0.204, 0.204, 0.193)
Li (0.379, 0.379, 0.550)
Li (0.621, 0.621, 0.450)
Li (0.796, 0.796, 0.807)
Li (0.994, 0.994, 0.735)
Cd (0.392, 0.392, 0.061)
Cd (0.608, 0.608, 0.939)
Pd (0.191, 0.191, 0.682)
Pd (0.809, 0.809, 0.318)

Summary:
* uncorrected energy: -0.197 Ry per atom
* volume: 160.3 Å³ per cell
* crystal system: monoclinic
* energy of formation from the pure elements: -0.316 eV per atom
* E above lowest polymorph: 0.0 meV per atom